Below is CaAl3Cd3 after structural relaxation, with properties calculated at the GGA-PBE level.

extended XYZ file:
```
14
Lattice="7.477 0.000 0.000 0.000 7.477 0.000 0.000 0.000 7.477" Properties=species:S:1:pos:R:3 pbc="T T T"
Ca 0.000 0.000 0.000
Ca 3.738 3.738 3.738
Al 0.000 1.869 3.738
Al 0.000 5.608 3.738
Al 1.869 3.738 0.000
Al 3.738 0.000 1.869
Al 3.738 0.000 5.608
Al 5.608 3.738 0.000
Cd 0.000 3.738 1.869
Cd 0.000 3.738 5.608
Cd 1.869 0.000 3.738
Cd 3.738 1.869 0.000
Cd 3.738 5.608 0.000
Cd 5.608 0.000 3.738
```

Summary:
ΔE_f ... 0.3788 eV per atom
ρ ... 3641 kg/m³

Below is Ca3Al8Cd after structural relaxation, with properties calculated at the GGA-PBE level.

extended XYZ file:
```
12
Lattice="2.806 1.620 9.242 -2.806 1.620 9.242 0.000 -3.241 9.242" Properties=species:S:1:pos:R:3 pbc="T T T"
Ca 0.000 0.000 0.000
Ca 0.000 0.000 3.511
Ca 0.000 0.000 17.259
Al -1.412 -0.815 10.974
Al 0.000 -1.627 6.339
Al -1.409 0.814 6.339
Al 0.000 0.000 8.672
Al 1.412 -0.815 10.974
Al 1.409 0.814 6.339
Al 0.000 1.630 10.974
Al 0.000 0.000 22.507
Cd 0.000 0.000 13.815
```

Summary:
ΔE_f ... -0.2143 eV per atom
ρ ... 2953 kg/m³

Below is Ca4AlCd2 after structural relaxation, with properties calculated at the GGA-PBE level.

extended XYZ file:
```
7
Lattice="2.669 1.541 8.776 -2.669 1.541 8.776 0.000 -3.082 8.776" Properties=species:S:1:pos:R:3 pbc="T T T"
Ca 0.000 0.000 3.275
Ca 0.000 0.000 9.872
Ca 0.000 0.000 16.456
Ca 0.000 0.000 23.053
Al 0.000 0.000 13.164
Cd 0.000 0.000 6.520
Cd 0.000 0.000 19.809
```

Summary:
ΔE_f ... -0.2208 eV per atom
ρ ... 3159 kg/m³

Below is Ca3Al4Cd2 after structural relaxation, with properties calculated at the GGA-PBE level.

extended XYZ file:
```
9
Lattice="5.506 -2.390 0.000 5.506 2.390 0.000 -3.747 0.000 8.128" Properties=species:S:1:pos:R:3 pbc="T T T"
Ca 0.000 0.000 0.000
Ca 2.279 0.000 2.789
Ca 4.986 0.000 5.340
Al -1.153 0.000 2.931
Al -0.684 0.000 7.499
Al 7.949 0.000 0.629
Al 8.419 0.000 5.198
Cd 1.695 0.000 5.980
Cd 5.571 0.000 2.149
```

Summary:
ΔE_f ... -0.2905 eV per atom
ρ ... 3516 kg/m³

Below is Ca5AlCd4 after structural relaxation, with properties calculated at the GGA-PBE level.

extended XYZ file:
```
10
Lattice="3.805 0.000 0.000 0.000 3.805 0.000 0.000 0.000 19.142" Properties=species:S:1:pos:R:3 pbc="T T T"
Ca 0.000 0.000 0.000
Ca 0.000 0.000 3.897
Ca 0.000 0.000 7.759
Ca 0.000 0.000 11.383
Ca 0.000 0.000 15.245
Al 1.903 1.903 9.571
Cd 1.903 1.903 1.937
Cd 1.903 1.903 5.857
Cd 1.903 1.903 13.285
Cd 1.903 1.903 17.205
```

Summary:
ΔE_f ... -0.3276 eV per atom
ρ ... 4055 kg/m³

Below is Ca2AlCd2 after structural relaxation, with properties calculated at the GGA-PBE level.

extended XYZ file:
```
5
Lattice="-3.068 3.068 4.037 3.068 -3.068 4.037 3.068 3.068 -4.037" Properties=species:S:1:pos:R:3 pbc="T T T"
Ca 3.068 0.000 2.019
Ca 0.000 3.068 2.019
Al 0.000 0.000 0.000
Cd 0.000 0.000 2.698
Cd 0.000 0.000 5.377
```

Summary:
ΔE_f ... 0.0180 eV per atom
ρ ... 3627 kg/m³

Below is Ca6AlCd3 after structural relaxation, with properties calculated at the GGA-PBE level.

extended XYZ file:
```
20
Lattice="9.538 0.000 0.000 0.000 5.510 0.000 -3.594 0.000 11.424" Properties=species:S:1:pos:R:3 pbc="T T T"
Ca -1.275 1.378 4.635
Ca 0.664 4.133 1.980
Ca -1.024 1.378 11.378
Ca 0.402 4.133 9.403
Ca 2.255 1.378 3.570
Ca 1.655 1.378 7.050
Ca 4.289 4.133 4.373
Ca 3.689 4.133 7.853
Ca 5.542 1.378 2.020
Ca 6.968 4.133 0.046
Ca 5.280 1.378 9.444
Ca 7.220 4.133 6.789
Al 3.749 4.133 1.318
Al 2.195 1.378 10.106
Cd -2.749 4.133 10.139
Cd -1.309 1.378 8.150
Cd 0.892 4.133 5.385
Cd 5.052 1.378 6.038
Cd 7.254 4.133 3.273
Cd 8.693 1.378 1.285
```

Summary:
ΔE_f ... -0.2409 eV per atom
ρ ... 3345 kg/m³

Below is Ca2Al2Cd after structural relaxation, with properties calculated at the GGA-PBE level.

extended XYZ file:
```
10
Lattice="7.316 0.000 0.000 0.000 7.316 0.000 0.000 0.000 4.842" Properties=species:S:1:pos:R:3 pbc="T T T"
Ca 1.251 2.406 0.000
Ca 2.406 6.064 0.000
Ca 4.909 1.251 0.000
Ca 6.064 4.909 0.000
Al 0.939 4.597 2.421
Al 2.718 0.939 2.421
Al 4.597 6.376 2.421
Al 6.376 2.718 2.421
Cd 0.000 0.000 2.421
Cd 3.658 3.658 2.421
```

Summary:
ΔE_f ... -0.2173 eV per atom
ρ ... 3160 kg/m³

Below is Ca3Al3Cd8 after structural relaxation, with properties calculated at the GGA-PBE level.

extended XYZ file:
```
14
Lattice="-2.353 5.191 6.817 2.353 -5.191 6.817 2.353 5.191 -6.817" Properties=species:S:1:pos:R:3 pbc="T T T"
Ca 0.000 0.000 0.000
Ca 0.000 0.000 4.043
Ca 0.000 0.000 9.590
Al 2.353 3.435 0.000
Al 0.000 5.191 0.000
Al 0.000 1.756 6.817
Cd 2.353 -1.425 2.079
Cd 2.353 -2.165 5.009
Cd 2.353 1.425 2.079
Cd 0.000 3.026 1.807
Cd 2.353 2.165 5.009
Cd 0.000 3.766 4.737
Cd 0.000 7.357 1.807
Cd 0.000 6.616 4.737
```

Summary:
ΔE_f ... -0.2077 eV per atom
ρ ... 5486 kg/m³

Below is Ca6Al2Cd after structural relaxation, with properties calculated at the GGA-PBE level.

extended XYZ file:
```
18
Lattice="-5.051 5.226 5.585 5.051 -5.226 5.585 5.051 5.226 -5.585" Properties=species:S:1:pos:R:3 pbc="T T T"
Ca 5.051 -3.092 3.650
Ca 3.022 0.000 2.763
Ca 7.081 0.000 2.763
Ca 3.205 2.850 0.000
Ca 6.898 2.850 0.000
Ca 0.000 2.133 1.935
Ca 5.051 3.092 3.650
Ca -1.847 2.375 5.585
Ca 1.847 2.375 5.585
Ca -2.030 5.226 2.822
Ca 2.030 5.226 2.822
Ca 0.000 8.318 1.935
Al 1.397 0.000 0.000
Al 8.706 0.000 0.000
Al 0.000 0.000 4.285
Al 0.000 0.000 6.885
Cd 5.051 0.000 0.000
Cd 0.000 5.226 0.000
```

Summary:
ΔE_f ... -0.1668 eV per atom
ρ ... 2291 kg/m³

Below is Ca2Al2Cd after structural relaxation, with properties calculated at the GGA-PBE level.

extended XYZ file:
```
10
Lattice="8.849 0.000 0.000 0.000 8.849 0.000 0.000 0.000 3.646" Properties=species:S:1:pos:R:3 pbc="T T T"
Ca 1.645 2.780 0.000
Ca 2.780 7.204 0.000
Ca 6.069 1.645 0.000
Ca 7.204 6.069 0.000
Al 0.919 5.344 1.823
Al 3.506 0.919 1.823
Al 5.344 7.930 1.823
Al 7.930 3.506 1.823
Cd 0.000 0.000 0.000
Cd 4.425 4.425 0.000
```

Summary:
ΔE_f ... 0.0181 eV per atom
ρ ... 2867 kg/m³

Below is Ca3Al7Cd2 after structural relaxation, with properties calculated at the GGA-PBE level.

extended XYZ file:
```
12
Lattice="2.841 1.640 9.214 -2.841 1.640 9.214 0.000 -3.281 9.214" Properties=species:S:1:pos:R:3 pbc="T T T"
Ca 0.000 0.000 0.000
Ca 0.000 0.000 3.945
Ca 0.000 0.000 23.699
Al -1.454 -0.839 11.599
Al 0.000 -1.679 16.044
Al -1.454 0.839 16.044
Al 0.000 0.000 13.822
Al 1.454 -0.839 11.599
Al 0.000 1.679 11.599
Al 1.454 0.839 16.045
Cd 0.000 0.000 9.283
Cd 0.000 0.000 18.361
```

Summary:
ΔE_f ... -0.2416 eV per atom
ρ ... 3441 kg/m³

Below is Ca6AlCd after structural relaxation, with properties calculated at the GGA-PBE level.

extended XYZ file:
```
8
Lattice="-2.717 2.717 9.345 2.717 -2.717 9.345 2.717 2.717 -9.345" Properties=species:S:1:pos:R:3 pbc="T T T"
Ca 2.717 0.000 1.825
Ca 0.000 0.000 4.647
Ca 2.717 0.000 7.520
Ca 0.000 2.717 1.825
Ca 0.000 0.000 14.044
Ca 0.000 2.717 7.520
Al 0.000 0.000 0.000
Cd 0.000 0.000 9.345
```

Summary:
ΔE_f ... -0.1423 eV per atom
ρ ... 2285 kg/m³

Below is Ca5Al2Cd12 after structural relaxation, with properties calculated at the GGA-PBE level.

extended XYZ file:
```
19
Lattice="8.289 -3.869 0.000 8.289 3.869 0.000 -0.298 0.000 7.499" Properties=species:S:1:pos:R:3 pbc="T T T"
Ca 0.000 0.000 0.000
Ca 3.745 0.000 7.034
Ca 4.805 0.000 3.527
Ca 11.476 0.000 3.973
Ca 12.536 0.000 0.465
Al 8.141 1.438 3.750
Al 8.141 -1.438 3.750
Cd 5.641 2.384 5.599
Cd 1.340 0.000 4.413
Cd 6.379 1.528 1.220
Cd 10.640 2.384 1.900
Cd 9.902 1.528 6.279
Cd 7.223 0.000 6.143
Cd 9.058 0.000 1.356
Cd 6.379 -1.528 1.220
Cd 5.641 -2.384 5.599
Cd 9.902 -1.528 6.279
Cd 14.941 0.000 3.086
Cd 10.640 -2.384 1.900
```

Summary:
ΔE_f ... -0.1899 eV per atom
ρ ... 5534 kg/m³

Below is CaAlCd4 after structural relaxation, with properties calculated at the GGA-PBE level.

extended XYZ file:
```
6
Lattice="0.000 4.183 4.183 4.183 0.000 4.183 4.183 4.183 0.000" Properties=species:S:1:pos:R:3 pbc="T T T"
Ca 0.000 0.000 0.000
Al 2.091 2.091 2.091
Cd 5.229 3.137 3.137
Cd 3.137 5.229 3.137
Cd 3.137 3.137 5.229
Cd 5.229 5.229 5.229
```

Summary:
ΔE_f ... -0.0443 eV per atom
ρ ... 5862 kg/m³

Below is CaAlCdCu after structural relaxation, with properties calculated at the GGA-PBE level.

extended XYZ file:
```
4
Lattice="0.000 3.411 3.411 3.411 0.000 3.411 3.411 3.411 0.000" Properties=species:S:1:pos:R:3 pbc="T T T"
Ca 0.000 0.000 0.000
Al 3.411 3.411 3.411
Cd 1.706 1.706 1.706
Cu 5.117 5.117 5.117
```

Summary:
ΔE_f ... -0.1117 eV per atom
ρ ... 5084 kg/m³

Below is CaErAlCd after structural relaxation, with properties calculated at the GGA-PBE level.

extended XYZ file:
```
4
Lattice="0.000 3.702 3.702 3.702 0.000 3.702 3.702 3.702 0.000" Properties=species:S:1:pos:R:3 pbc="T T T"
Ca 0.000 0.000 0.000
Er 3.702 3.702 3.702
Al 1.851 1.851 1.851
Cd 5.553 5.553 5.553
```

Summary:
ΔE_f ... -0.3066 eV per atom
ρ ... 5676 kg/m³

Below is CaErAlCd after structural relaxation, with properties calculated at the GGA-PBE level.

extended XYZ file:
```
4
Lattice="3.618 0.000 0.000 0.000 3.618 0.000 0.000 0.000 7.759" Properties=species:S:1:pos:R:3 pbc="T T T"
Ca 0.000 0.000 0.000
Er 0.000 0.000 4.034
Al 1.809 1.809 5.789
Cd 1.809 1.809 2.081
```

Summary:
ΔE_f ... -0.3211 eV per atom
ρ ... 5670 kg/m³

Below is CaEuAlCd after structural relaxation, with properties calculated at the GGA-PBE level.

extended XYZ file:
```
4
Lattice="0.000 3.822 3.822 3.822 0.000 3.822 3.822 3.822 0.000" Properties=species:S:1:pos:R:3 pbc="T T T"
Ca 0.000 0.000 0.000
Eu 3.822 3.822 3.822
Al 1.911 1.911 1.911
Cd 5.734 5.734 5.734
```

Summary:
ΔE_f ... -0.2854 eV per atom
ρ ... 4927 kg/m³

Below is CaAlCdGa after structural relaxation, with properties calculated at the GGA-PBE level.

extended XYZ file:
```
4
Lattice="0.000 3.515 3.515 3.515 0.000 3.515 3.515 3.515 0.000" Properties=species:S:1:pos:R:3 pbc="T T T"
Ca 0.000 0.000 0.000
Al 3.515 3.515 3.515
Cd 5.272 5.272 5.272
Ga 1.757 1.757 1.757
```

Summary:
ΔE_f ... -0.1916 eV per atom
ρ ... 4765 kg/m³